No. 1
This record from Alexandria describes a relaxed Ag2BrCl crystal. The functional is PBEsol.

Output
ΔE_f (raw) ... -309 meV/atom
Offset from the most stable computed form ... 3 meV/atom

Lattice parameters (Å, degrees): 3.932 3.932 5.539 90.00 90.00 90.00
Fractional positions:
Ag  0.000  0.000  0.000
Ag  0.500  0.500  0.498
Br  0.500  0.500  0.998
Cl  0.000  0.000  0.499

No. 2
This record from Alexandria describes a relaxed SrSc2Ag crystal. The functional is PBEsol.

Output
Offset from the most stable computed form ... 205 meV/atom
Formation enthalpy at 0 K ... 0.247 eV/atom

Lattice parameters (Å, degrees): 6.184 6.184 6.184 138.59 138.59 60.00
Fractional positions:
Sr  0.000  0.000  0.000
Sc  0.250  0.750  0.500
Sc  0.750  0.250  0.500
Ag  0.500  0.500  0.000

No. 3
This record from Alexandria describes a relaxed Y2CoSe crystal. The functional is PBEsol.

Output
ΔE_f (raw) ... -898 meV/atom

Lattice parameters (Å, degrees): 4.028 5.559 5.559 40.22 90.00 90.00
Fractional positions:
Y  0.000  0.000  0.000
Y  0.500  0.284  0.284
Co  0.500  0.554  0.554
Se  0.000  0.712  0.712

No. 4
This record from Alexandria describes a relaxed Mn2TlRu crystal. The functional is PBEsol.

Output
Offset from the most stable computed form ... 95 meV/atom
Formation enthalpy at 0 K ... 0.532 eV/atom

Lattice parameters (Å, degrees): 4.722 4.722 4.722 130.00 130.00 73.41
Fractional positions:
Mn  0.000  0.000  0.000
Mn  0.750  0.250  0.500
Tl  0.250  0.750  0.500
Ru  0.500  0.500  0.000

No. 5
This record from Alexandria describes a relaxed La2ZnAs crystal. The functional is PBEsol.

Output
Offset from the most stable computed form ... 655 meV/atom
Formation enthalpy at 0 K ... -0.158 eV/atom

Lattice parameters (Å, degrees): 5.104 5.104 5.104 60.00 60.00 60.00
Fractional positions:
La  0.000  0.000  0.000
La  0.250  0.250  0.250
Zn  0.750  0.750  0.750
As  0.500  0.500  0.500

No. 6
This record from Alexandria describes a relaxed Tb2Si3 crystal. The functional is PBEsol.

Output
ΔE_f (raw) ... -686 meV/atom
Offset from the most stable computed form ... 0 meV/atom

Lattice parameters (Å, degrees): 7.362 7.362 7.362 149.60 148.89 44.05
Fractional positions:
Tb  0.000  0.000  0.000
Tb  0.755  0.255  0.500
Si  0.325  0.825  0.500
Si  0.425  0.425  0.000
Si  0.596  0.596  0.000

no.,electronic total energy (eV/atom)
1,-2.93
2,-4.34
3,-7.21
4,-7.55
5,-4.50
6,-6.14